# 1
First-principles (GGA-PBE) data for a relaxed structure of Sr2CdGe, as listed in Alexandria.

Output
Calculated formation energy: -157 kJ/mol of formula units

Cell and atoms, written as CIF:
```
data_Sr2CdGe
_symmetry_space_group_name_H-M 'P 4/m m m'
_symmetry_Int_Tables_number 123
_symmetry_space_group_name_Hall '-P 4 2'
_cell_length_a 5.596
_cell_length_b 5.596
_cell_length_c 3.920
_cell_angle_alpha 90.00
_cell_angle_beta 90.00
_cell_angle_gamma 90.00
loop_
_atom_site_label
_atom_site_type_symbol
_atom_site_fract_x
_atom_site_fract_y
_atom_site_fract_z
Sr1 Sr 0.000 0.500 0.000
Cd1 Cd 0.000 0.000 0.500
Ge1 Ge 0.500 0.500 0.500
```


# 2
First-principles (GGA-PBE) data for a relaxed structure of Sr2CdGe, as listed in Alexandria.

Output
Calculated formation energy: 42 kJ/mol of formula units

Cell and atoms, written as CIF:
```
data_Sr2CdGe
_symmetry_space_group_name_H-M 'I -4 2 d'
_symmetry_Int_Tables_number 122
_symmetry_space_group_name_Hall 'I -4 2bw'
_cell_length_a 5.808
_cell_length_b 5.808
_cell_length_c 19.455
_cell_angle_alpha 90.00
_cell_angle_beta 90.00
_cell_angle_gamma 90.00
loop_
_atom_site_label
_atom_site_type_symbol
_atom_site_fract_x
_atom_site_fract_y
_atom_site_fract_z
Sr1 Sr 0.225 0.250 0.125
Cd1 Cd 0.000 0.000 0.500
Ge1 Ge 0.000 0.000 0.000
```


# 3
First-principles (GGA-PBE) data for a relaxed structure of Sr3Cd2Ge3, as listed in Alexandria.

Output
Calculated formation energy: -380 kJ/mol of formula units

Cell and atoms, written as CIF:
```
data_Sr3Cd2Ge3
_symmetry_space_group_name_H-M 'C m c m'
_symmetry_Int_Tables_number 63
_symmetry_space_group_name_Hall '-C 2c 2'
_cell_length_a 4.814
_cell_length_b 11.519
_cell_length_c 15.653
_cell_angle_alpha 90.00
_cell_angle_beta 90.00
_cell_angle_gamma 90.00
loop_
_atom_site_label
_atom_site_type_symbol
_atom_site_fract_x
_atom_site_fract_y
_atom_site_fract_z
Sr1 Sr 0.000 0.088 0.111
Sr2 Sr 0.000 0.369 0.250
Cd1 Cd 0.000 0.211 0.592
Ge1 Ge 0.000 0.332 0.750
Ge2 Ge 0.000 0.396 0.036
```


# 4
First-principles (GGA-PBE) data for a relaxed structure of SrCd11Ge, as listed in Alexandria.

Output
Calculated formation energy: -101 kJ/mol of formula units

Cell and atoms, written as CIF:
```
data_SrCd11Ge
_symmetry_space_group_name_H-M 'C 1 2/m 1'
_symmetry_Int_Tables_number 12
_cell_length_a 6.037
_cell_length_b 14.311
_cell_length_c 7.725
_cell_angle_alpha 90.00
_cell_angle_beta 112.94
_cell_angle_gamma 90.00
loop_
_symmetry_equiv_pos_as_xyz
'x,y,z'
'-x,-y,-z'
'-x,y,-z'
'x,-y,z'
'x+1/2,y+1/2,z'
'-x+1/2,-y+1/2,-z'
'-x+1/2,y+1/2,-z'
'x+1/2,-y+1/2,z'
loop_
_atom_site_label
_atom_site_type_symbol
_atom_site_fract_x
_atom_site_fract_y
_atom_site_fract_z
Sr1 Sr 0.000 0.000 0.000
Cd1 Cd 0.000 0.000 0.500
Cd2 Cd 0.110 0.393 0.216
Cd3 Cd 0.180 0.177 0.354
Cd4 Cd 0.250 0.250 0.000
Ge1 Ge 0.000 0.500 0.500
```


# 5
First-principles (GGA-PBE) data for a relaxed structure of SrCd2Ge, as listed in Alexandria.

Output
Calculated formation energy: -134 kJ/mol of formula units

Cell and atoms, written as CIF:
```
data_SrCd2Ge
_symmetry_space_group_name_H-M 'C m c m'
_symmetry_Int_Tables_number 63
_symmetry_space_group_name_Hall '-C 2c 2'
_cell_length_a 4.465
_cell_length_b 20.530
_cell_length_c 4.660
_cell_angle_alpha 90.00
_cell_angle_beta 90.00
_cell_angle_gamma 90.00
loop_
_atom_site_label
_atom_site_type_symbol
_atom_site_fract_x
_atom_site_fract_y
_atom_site_fract_z
Sr1 Sr 0.000 0.113 0.250
Cd1 Cd 0.000 0.250 0.750
Cd2 Cd 0.000 0.464 0.250
Ge1 Ge 0.000 0.332 0.250
```


# 6
First-principles (GGA-PBE) data for a relaxed structure of Sr3Cd7Ge4, as listed in Alexandria.

Output
Calculated formation energy: -420 kJ/mol of formula units

Cell and atoms, written as CIF:
```
data_Sr3Cd7Ge4
_symmetry_space_group_name_H-M 'C 1 2/m 1'
_symmetry_Int_Tables_number 12
_cell_length_a 17.300
_cell_length_b 4.660
_cell_length_c 10.470
_cell_angle_alpha 90.00
_cell_angle_beta 125.32
_cell_angle_gamma 90.00
loop_
_symmetry_equiv_pos_as_xyz
'x,y,z'
'-x,-y,-z'
'-x,y,-z'
'x,-y,z'
'x+1/2,y+1/2,z'
'-x+1/2,-y+1/2,-z'
'-x+1/2,y+1/2,-z'
'x+1/2,-y+1/2,z'
loop_
_atom_site_label
_atom_site_type_symbol
_atom_site_fract_x
_atom_site_fract_y
_atom_site_fract_z
Sr1 Sr 0.000 0.000 0.000
Sr2 Sr 0.199 0.500 0.710
Cd1 Cd 0.000 0.000 0.500
Cd2 Cd 0.010 0.500 0.317
Cd3 Cd 0.158 0.000 0.432
Cd4 Cd 0.163 0.500 0.016
Ge1 Ge 0.136 0.000 0.850
Ge2 Ge 0.155 0.500 0.272
```


# 7
First-principles (GGA-PBE) data for a relaxed structure of SrCdTcGe2, as listed in Alexandria.

Output
Calculated formation energy: -66 kJ/mol of formula units

Cell and atoms, written as CIF:
```
data_SrCdTcGe2
_symmetry_space_group_name_H-M 'P 4/m m m'
_symmetry_Int_Tables_number 123
_symmetry_space_group_name_Hall '-P 4 2'
_cell_length_a 4.840
_cell_length_b 4.840
_cell_length_c 5.251
_cell_angle_alpha 90.00
_cell_angle_beta 90.00
_cell_angle_gamma 90.00
loop_
_atom_site_label
_atom_site_type_symbol
_atom_site_fract_x
_atom_site_fract_y
_atom_site_fract_z
Sr1 Sr 0.000 0.000 0.000
Cd1 Cd 0.500 0.500 0.000
Tc1 Tc 0.500 0.500 0.500
Ge1 Ge 0.000 0.500 0.500
```


# 8
First-principles (GGA-PBE) data for a relaxed structure of SrTlCdGe, as listed in Alexandria.

Output
Calculated formation energy: -67 kJ/mol of formula units

Cell and atoms, written as CIF:
```
data_SrTlCdGe
_symmetry_space_group_name_H-M 'F -4 3 m'
_symmetry_Int_Tables_number 216
_symmetry_space_group_name_Hall 'F -4 2 3'
_cell_length_a 7.585
_cell_length_b 7.585
_cell_length_c 7.585
_cell_angle_alpha 90.00
_cell_angle_beta 90.00
_cell_angle_gamma 90.00
loop_
_atom_site_label
_atom_site_type_symbol
_atom_site_fract_x
_atom_site_fract_y
_atom_site_fract_z
Sr1 Sr 0.000 0.000 0.000
Tl1 Tl 0.250 0.250 0.250
Cd1 Cd 0.000 0.000 0.500
Ge1 Ge 0.250 0.250 0.750
```


# 9
First-principles (GGA-PBE) data for a relaxed structure of SrYCdGe, as listed in Alexandria.

Output
Calculated formation energy: -149 kJ/mol of formula units

Cell and atoms, written as CIF:
```
data_SrYCdGe
_symmetry_space_group_name_H-M 'F -4 3 m'
_symmetry_Int_Tables_number 216
_symmetry_space_group_name_Hall 'F -4 2 3'
_cell_length_a 7.568
_cell_length_b 7.568
_cell_length_c 7.568
_cell_angle_alpha 90.00
_cell_angle_beta 90.00
_cell_angle_gamma 90.00
loop_
_atom_site_label
_atom_site_type_symbol
_atom_site_fract_x
_atom_site_fract_y
_atom_site_fract_z
Sr1 Sr 0.000 0.000 0.000
Y1 Y 0.000 0.000 0.500
Cd1 Cd 0.250 0.250 0.750
Ge1 Ge 0.250 0.250 0.250
```


# 10
First-principles (GGA-PBE) data for a relaxed structure of Sr2ZnCd3Ge4, as listed in Alexandria.

Output
Calculated formation energy: -270 kJ/mol of formula units

Cell and atoms, written as CIF:
```
data_Sr2ZnCd3Ge4
_symmetry_space_group_name_H-M 'P -4 m 2'
_symmetry_Int_Tables_number 115
_cell_length_a 4.562
_cell_length_b 4.562
_cell_length_c 11.479
_cell_angle_alpha 90.00
_cell_angle_beta 90.00
_cell_angle_gamma 90.00
loop_
_symmetry_equiv_pos_as_xyz
'x,y,z'
'y,-x,-z'
'-x,-y,z'
'-y,x,-z'
'-x,y,z'
'-y,-x,-z'
'x,-y,z'
'y,x,-z'
loop_
_atom_site_label
_atom_site_type_symbol
_atom_site_fract_x
_atom_site_fract_y
_atom_site_fract_z
Sr1 Sr 0.000 0.500 0.245
Zn1 Zn 0.500 0.500 0.000
Cd1 Cd 0.000 0.000 0.000
Cd2 Cd 0.000 0.500 0.638
Ge1 Ge 0.000 0.000 0.500
Ge2 Ge 0.000 0.500 0.869
Ge3 Ge 0.500 0.500 0.500
```


# 11
First-principles (GGA-PBE) data for a relaxed structure of Sr3Zn2Cd2Ge4, as listed in Alexandria.

Output
Calculated formation energy: -401 kJ/mol of formula units

Cell and atoms, written as CIF:
```
data_Sr3Zn2Cd2Ge4
_symmetry_space_group_name_H-M 'P -3 m 1'
_symmetry_Int_Tables_number 164
_symmetry_space_group_name_Hall '-P 3 2"'
_cell_length_a 4.4181
_cell_length_b 4.4181
_cell_length_c 16.6837
_cell_angle_alpha 90.00
_cell_angle_beta 90.00
_cell_angle_gamma 120.00
loop_
_atom_site_label
_atom_site_type_symbol
_atom_site_fract_x
_atom_site_fract_y
_atom_site_fract_z
Sr1 Sr 0.0000 0.0000 0.0000
Sr2 Sr 0.0000 0.0000 0.2694
Zn1 Zn 0.3333 0.6667 0.1375
Cd1 Cd 0.3333 0.6667 0.5556
Ge1 Ge 0.3333 0.6667 0.3852
Ge2 Ge 0.3333 0.6667 0.8679
```


# 12
First-principles (GGA-PBE) data for a relaxed structure of Sr2ZrCdGe, as listed in Alexandria.

Output
Calculated formation energy: 44 kJ/mol of formula units

Cell and atoms, written as CIF:
```
data_Sr2ZrCdGe
_symmetry_space_group_name_H-M 'P 4/m m m'
_symmetry_Int_Tables_number 123
_symmetry_space_group_name_Hall '-P 4 2'
_cell_length_a 5.960
_cell_length_b 5.960
_cell_length_c 5.217
_cell_angle_alpha 90.00
_cell_angle_beta 90.00
_cell_angle_gamma 90.00
loop_
_atom_site_label
_atom_site_type_symbol
_atom_site_fract_x
_atom_site_fract_y
_atom_site_fract_z
Sr1 Sr 0.000 0.500 0.000
Zr1 Zr 0.000 0.000 0.500
Cd1 Cd 0.500 0.500 0.500
Ge1 Ge 0.000 0.000 0.000
```


# 13
First-principles (GGA-PBE) data for a relaxed structure of TaCdGe3, as listed in Alexandria.

Output
Calculated formation energy: 745 kJ/mol of formula units
E above lowest polymorph: 1.1313 eV per atom

Cell and atoms, written as CIF:
```
data_TaCdGe3
_symmetry_space_group_name_H-M 'P m -3 m'
_symmetry_Int_Tables_number 221
_symmetry_space_group_name_Hall '-P 4 2 3'
_cell_length_a 4.969
_cell_length_b 4.969
_cell_length_c 4.969
_cell_angle_alpha 90.00
_cell_angle_beta 90.00
_cell_angle_gamma 90.00
loop_
_atom_site_label
_atom_site_type_symbol
_atom_site_fract_x
_atom_site_fract_y
_atom_site_fract_z
Ta1 Ta 0.000 0.000 0.000
Cd1 Cd 0.500 0.500 0.500
Ge1 Ge 0.000 0.500 0.500
```


DOS(E_F) (computed, states/eV/atom): 0.430; 1.500; 0.158; 0.314; 0.390; 0.322; 0.542; 0.643; 0.841; 0.158; 0.525; 1.508; 1.236